2
Lattice="1.821 1.052 3.014 -1.821 1.052 3.014 0.000 -2.103 3.014" Properties=species:S:1:pos:R:3 comment="Np (GGA-PBE, relaxed)" spacegroup="R-3m, No. 166" m_tot_mub_per_atom=0.0006 polymorph_energy_mev_per_atom=143 pbc="T T T"
Np 0.000 0.000 2.200
Np 0.000 0.000 6.841

---

11
Lattice="3.049 1.761 8.007 -3.049 1.761 8.007 0.000 -3.521 8.007" Properties=species:S:1:pos:R:3 comment="HoZr6Sn4 (GGA-PBE, relaxed)" dft_energy_ev_per_atom=-7.05 spacegroup="R-3m, No. 166" m_tot_mub_per_atom=0.0012 pbc="T T T"
Ho 0.000 0.000 0.000
Zr -1.514 -0.874 10.526
Zr 0.000 -1.748 13.493
Zr -1.514 0.874 13.493
Zr 1.514 -0.874 10.526
Zr 0.000 1.748 10.526
Zr 1.514 0.874 13.493
Sn 0.000 0.000 2.967
Sn 0.000 0.000 7.993
Sn 0.000 0.000 16.027
Sn 0.000 0.000 21.053